The following is a DFT calculation (PBE-GGA) of BBr3 after structural relaxation.

Structure (CIF):
```
data_BBr3
_cell_length_a 10.556
_cell_length_b 10.556
_cell_length_c 10.556
_cell_angle_alpha 18.23
_cell_angle_beta 18.23
_cell_angle_gamma 18.23
_symmetry_space_group_name_H-M 'P 1'
_symmetry_Int_Tables_number 1
_symmetry_space_group_name_Hall 'P 1'
loop_
_atom_site_label
_atom_site_type_symbol
_atom_site_fract_x
_atom_site_fract_y
_atom_site_fract_z
_atom_site_occupancy
B1 B 0.000 0.000 0.000 1
Br1 Br 0.378 0.378 0.378 1
Br2 Br 0.500 0.500 0.500 1
Br3 Br 0.622 0.622 0.622 1
```

Properties
Its energy above the most stable polymorph in this dataset is 25.94 kcal/mol of atoms. As for the formation energy (no corrections): 0.63 eV per atom. Its crystal system is trigonal. The calculation puts the calculated volume at 25.13 Å³/atom.